A geometry-optimized Ce7PbI12 structure, computed with PBE-GGA.

uncorrected formation energy	-1136	meV/atom
symmetry	No. 148

Structure (POSCAR):
```
Ce7PbI12
1.0
10.1341 -0.1912 -0.2869
-3.0015 9.6813 -0.2869
-3.0015 -3.9936 8.8239
Ce I Pb
7 12 1
direct
0.0530 0.3467 0.1236 Ce
0.8764 0.9470 0.6533 Ce
0.3467 0.1236 0.0530 Ce
0.9470 0.6533 0.8764 Ce
0.1236 0.0530 0.3467 Ce
0.5000 0.5000 0.5000 Ce
0.6533 0.8764 0.9470 Ce
0.4783 0.1555 0.3994 I
0.3994 0.4783 0.1555 I
0.7701 0.9261 0.3049 I
0.3049 0.7701 0.9261 I
0.8445 0.6006 0.5217 I
0.5217 0.8445 0.6006 I
0.1555 0.3994 0.4783 I
0.6951 0.2299 0.0739 I
0.0739 0.6951 0.2299 I
0.9261 0.3049 0.7701 I
0.6006 0.5217 0.8445 I
0.2299 0.0739 0.6951 I
0.0000 0.0000 0.0000 Pb
```